The following is a DFT calculation (PBE) of a relaxed TbTlPt4 crystal.

As for the calculated volume: 454.44 Å³/cell. The energy of formation from the pure elements comes out at -735 meV/atom. The calculation puts the size of the total moment at 0.0 μB per cell.

The structure belongs to space group F-43m (No. 216); the cell edges are 7.6882, 7.6882 and 7.6882 Å and the angles 90.00°, 90.00° and 90.00°. The inequivalent atoms are Tb at (0.0000, 0.0000, 0.0000), Tl at (0.2500, 0.2500, 0.2500) and Pt at (0.1247, 0.1247, 0.6247).